No. 1
Compound: Be2OsPt
Source: Alexandria via LeMat-Bulk
Functional: GGA-PBE
Structure: relaxed

Calculated values
The final energy is -6.008 eV/atom. The value obtained for the formation enthalpy at 0 K is 172 meV/atom. Its volume is 50.78 Å³/cell. Its space group is Cmm2 (35).

POSCAR file:
```
Be2OsPt
1.0
2.655 0.000 0.000
-1.250 2.343 0.000
0.000 0.000 8.163
Be Os Pt
2 1 1
Cartesian
0.000 0.000 0.078
0.703 1.172 1.951
0.000 0.000 3.830
0.703 1.172 6.385
```


No. 2
Compound: In3PtAu
Source: Alexandria via LeMat-Bulk
Functional: GGA-PBE
Structure: relaxed

Calculated values
The final energy is -3.782 eV/atom. The value obtained for the formation enthalpy at 0 K is -275 meV/atom. Its volume is 468.72 Å³/cell. The offset from the most stable computed form is 0 meV/atom. Its space group is Cmce (64).

POSCAR file:
```
In3PtAu
1.0
5.489 0.000 0.000
0.000 8.933 -3.420
0.000 -0.017 9.565
In Pt Au
12 4 4
Cartesian
0.000 5.921 4.081
5.489 2.995 2.064
2.745 7.453 5.137
2.744 1.463 1.008
3.729 6.012 0.819
1.760 2.905 5.327
0.985 7.380 -1.166
4.505 1.537 7.311
1.372 3.900 -0.888
4.117 5.016 7.034
4.117 0.558 3.961
1.372 8.359 2.184
4.117 7.929 2.808
1.372 0.988 3.337
1.372 5.446 6.410
4.117 3.470 -0.265
1.028 5.614 1.396
4.461 3.303 4.749
3.773 7.778 -1.743
1.716 1.139 7.889
```


No. 3
Compound: La2TaFe
Source: Alexandria via LeMat-Bulk
Functional: GGA-PBE
Structure: relaxed

Calculated values
The final energy is -6.895 eV/atom. The value obtained for the formation enthalpy at 0 K is 647 meV/atom. Its volume is 98.98 Å³/cell. The offset from the most stable computed form is 467 meV/atom. Its space group is Fm-3m (225).

POSCAR file:
```
La2TaFe
1.0
0.000 3.671 3.671
3.671 0.000 3.671
3.671 3.671 0.000
La Fe Ta
2 1 1
Cartesian
1.836 1.836 1.836
5.507 5.507 5.507
0.000 0.000 0.000
3.671 3.671 3.671
```


No. 4
Compound: BeTc2Ir
Source: Alexandria via LeMat-Bulk
Functional: GGA-PBE
Structure: relaxed

Calculated values
The final energy is -8.415 eV/atom. The value obtained for the formation enthalpy at 0 K is -85 meV/atom. Its volume is 53.25 Å³/cell. Its space group is I4/mmm (139).

POSCAR file:
```
BeTc2Ir
1.0
-1.942 -2.459 3.705
0.184 -4.843 -0.237
3.118 3.678 -0.543
Be Ir Tc
1 1 2
Cartesian
1.212 -2.408 0.478
0.149 -1.216 2.449
0.000 0.000 0.000
-0.879 -3.651 1.734
```


No. 5
Compound: P2IrAu
Source: Alexandria via LeMat-Bulk
Functional: GGA-PBE
Structure: relaxed

Calculated values
The final energy is -5.921 eV/atom. The value obtained for the formation enthalpy at 0 K is -181 meV/atom. Its volume is 145.27 Å³/cell. The offset from the most stable computed form is 44 meV/atom. Its space group is Amm2 (38).

POSCAR file:
```
P2IrAu
1.0
7.448 0.000 0.000
0.000 2.848 0.000
0.000 0.000 6.848
P Ir Au
4 2 2
Cartesian
1.350 0.000 5.138
6.098 0.000 5.138
1.350 1.424 1.714
6.098 1.424 1.714
0.000 0.000 0.292
0.000 1.424 3.716
3.724 0.000 5.070
3.724 1.424 1.646
```


No. 6
Compound: Os3PdF
Source: Alexandria via LeMat-Bulk
Functional: GGA-PBE
Structure: relaxed

Calculated values
The final energy is -6.526 eV/atom. As for the uncorrected formation energy: 1.62 eV per atom. Its volume is 73.52 Å³/cell. The offset from the most stable computed form is 0 meV/atom. Its space group is Pm-3m (221).

POSCAR file:
```
Os3PdF
1.0
-0.012 -3.975 1.322
-0.674 -1.303 -3.924
4.135 -0.224 -0.636
Os Pd F
3 1 1
Cartesian
-0.337 -0.651 -1.962
2.067 -0.112 -0.318
-0.006 -1.988 0.661
1.724 -2.751 -1.619
0.000 0.000 0.000
```


No. 7
Compound: RbVN2
Source: Alexandria via LeMat-Bulk
Functional: GGA-PBE
Structure: relaxed

Calculated values
The final energy is -6.624 eV/atom. As for the uncorrected formation energy: 0.06 eV per atom. Its volume is 57.45 Å³/cell. The offset from the most stable computed form is 807 meV/atom. Its space group is R-3m (166).

POSCAR file:
```
RbVN2
1.0
0.753 -4.215 5.990
2.207 -5.858 3.877
3.651 -3.583 5.296
V Rb N
1 1 2
Cartesian
3.306 -6.828 7.581
0.000 0.000 0.000
5.819 -12.021 13.347
0.792 -1.636 1.816
```


No. 8
Compound: Lu4Au2C
Source: Alexandria via LeMat-Bulk
Functional: GGA-PBE
Structure: relaxed

Calculated values
The final energy is -5.406 eV/atom. The value obtained for the formation enthalpy at 0 K is -569 meV/atom. Its volume is 157.73 Å³/cell. Its space group is I4/mmm (139).

POSCAR file:
```
Lu4Au2C
1.0
-1.253 4.455 -0.688
-2.710 -0.174 3.810
7.529 0.045 2.486
C Lu Au
1 4 2
Cartesian
0.000 0.000 0.000
1.679 3.582 4.231
1.886 0.743 1.376
-1.355 -0.087 1.905
-0.626 2.227 -0.344
-0.504 2.722 2.639
4.070 1.603 2.969
```


No. 9
Compound: VCr14Os
Source: Alexandria via LeMat-Bulk
Functional: GGA-PBE
Structure: relaxed

Calculated values
The final energy is -9.719 eV/atom. The value obtained for the formation enthalpy at 0 K is -27 meV/atom. Its volume is 193.22 Å³/cell. Its space group is Cmmm (65).

POSCAR file:
```
VCr14Os
1.0
-1.804 -0.033 4.667
-0.094 -4.650 -1.844
7.534 -1.304 2.903
V Cr Os
1 14 1
Cartesian
2.604 -2.416 3.677
-0.308 -4.073 -1.030
-1.163 -1.764 2.225
3.506 -2.400 1.343
-0.261 -1.748 -0.108
2.557 -4.742 2.754
-1.210 -4.090 1.303
4.995 -1.591 3.719
1.152 -0.926 2.238
4.057 -3.907 5.115
0.213 -3.242 3.634
4.932 -3.901 2.779
1.132 -3.243 1.315
4.077 -1.589 6.039
0.276 -0.932 4.574
3.459 -4.725 0.421
```


No. 10
Compound: CaAg3Sb
Source: Alexandria via LeMat-Bulk
Functional: GGA-PBE
Structure: relaxed

Calculated values
The final energy is -2.754 eV/atom. As for the uncorrected formation energy: 0.18 eV per atom. Its volume is 145.74 Å³/cell. The offset from the most stable computed form is 0 meV/atom. Its space group is Pm-3m (221).

POSCAR file:
```
CaAg3Sb
1.0
5.262 0.000 0.000
0.000 5.262 0.000
0.000 0.000 5.262
Sb Ca Ag
1 1 3
Cartesian
0.000 0.000 0.000
2.631 2.631 2.631
0.000 2.631 0.000
0.000 0.000 2.631
2.631 0.000 0.000
```


No. 11
Compound: TeIr2
Source: Alexandria via LeMat-Bulk
Functional: GGA-PBE
Structure: relaxed

Calculated values
The final energy is -6.328 eV/atom. As for the uncorrected formation energy: 0.63 eV per atom. Its volume is 112.20 Å³/cell. The offset from the most stable computed form is 619 meV/atom. Its space group is I4_1/amd (141).

POSCAR file:
```
TeIr2
1.0
-0.618 -9.725 -0.646
-4.326 -8.462 2.250
1.026 9.315 -2.749
Te Ir
2 4
Cartesian
0.000 0.000 0.000
-1.032 -4.752 -1.297
-2.835 -10.430 0.920
-2.523 -2.784 0.033
-2.109 -7.758 0.684
-3.249 -5.456 0.269
```


No. 12
Compound: Pr2HoThSe4
Source: Alexandria via LeMat-Bulk
Functional: GGA-PBE
Structure: relaxed

Calculated values
The final energy is -6.166 eV/atom. As for the uncorrected formation energy: -1.73 eV per atom. Its volume is 209.58 Å³/cell. Its space group is P2/m (10).

POSCAR file:
```
Pr2HoThSe4
1.0
-3.199 2.211 1.483
-2.821 0.441 -6.743
-2.597 -5.955 3.275
Pr Ho Th Se
2 1 1 4
Cartesian
-2.898 -1.872 2.379
-2.709 -2.757 -1.734
0.000 0.000 0.000
-3.010 1.326 -2.630
-2.883 -0.192 -0.092
-5.734 -3.110 -1.892
-2.661 -4.408 0.832
-2.757 -1.105 -4.299
```


No. 13
Compound: TmSc2Ir3
Source: Alexandria via LeMat-Bulk
Functional: GGA-PBE
Structure: relaxed

Calculated values
The final energy is -8.251 eV/atom. The value obtained for the formation enthalpy at 0 K is -965 meV/atom. Its volume is 105.65 Å³/cell. The offset from the most stable computed form is 3 meV/atom. Its space group is P4/mmm (123).

POSCAR file:
```
TmSc2Ir3
1.0
-3.140 0.034 -0.432
0.291 -2.181 -2.281
-1.067 -7.631 7.160
Tm Sc Ir
1 2 3
Cartesian
-1.958 -4.889 2.224
-2.319 -7.471 4.646
-1.597 -2.308 -0.199
0.000 0.000 0.000
-0.725 -5.190 4.870
-0.341 -2.441 2.291
```


No. 14
Compound: HfRu2C
Source: Alexandria via LeMat-Bulk
Functional: GGA-PBE
Structure: relaxed

Calculated values
The final energy is -8.737 eV/atom. The value obtained for the formation enthalpy at 0 K is 695 meV/atom. Its volume is 54.40 Å³/cell. The offset from the most stable computed form is 833 meV/atom. Its space group is Fm-3m (225).

POSCAR file:
```
HfRu2C
1.0
0.000 3.007 3.007
3.007 0.000 3.007
3.007 3.007 0.000
Ru C Hf
2 1 1
Cartesian
1.504 1.504 1.504
4.511 4.511 4.511
0.000 0.000 0.000
3.007 3.007 3.007
```


No. 15
Compound: Ac2Si2Tc
Source: Alexandria via LeMat-Bulk
Functional: GGA-PBE
Structure: relaxed

Calculated values
The final energy is -6.375 eV/atom. As for the uncorrected formation energy: -0.49 eV per atom. Its volume is 250.98 Å³/cell. Its space group is C2/m (12).

POSCAR file:
```
Ac2Si2Tc
1.0
-3.895 -2.063 0.118
0.132 -4.711 4.352
-5.050 5.193 6.464
Ac Si Tc
4 4 2
Cartesian
-4.219 -1.248 3.641
-8.044 1.460 7.098
-4.593 -0.333 7.293
-0.768 -3.041 3.836
-3.264 1.718 4.649
-6.690 -0.954 9.608
-5.549 -3.298 6.285
-2.123 -0.627 1.326
-5.711 1.610 4.374
-3.102 -3.191 6.560
```


No. 16
Compound: YMo3
Source: Alexandria via LeMat-Bulk
Functional: GGA-PBE
Structure: relaxed

Calculated values
The final energy is -9.485 eV/atom. The value obtained for the formation enthalpy at 0 K is 255 meV/atom. Its volume is 74.87 Å³/cell. The offset from the most stable computed form is 0 meV/atom. Its space group is P4/mmm (123).

POSCAR file:
```
YMo3
1.0
3.207 0.000 0.000
0.000 3.207 0.000
0.000 0.000 7.279
Mo Y
3 1
Cartesian
0.000 0.000 0.332
0.000 0.000 3.307
1.604 1.604 1.820
1.604 1.604 5.459
```


No. 17
Compound: Ac3TbIr2
Source: Alexandria via LeMat-Bulk
Functional: GGA-PBE
Structure: relaxed

Calculated values
The final energy is -6.352 eV/atom. The value obtained for the formation enthalpy at 0 K is -572 meV/atom. Its volume is 426.13 Å³/cell. Its space group is C2/m (12).

POSCAR file:
```
Ac3TbIr2
1.0
2.186 9.010 0.372
-2.186 9.010 0.372
0.000 7.036 11.107
Ac Tb Ir
6 2 4
Cartesian
0.000 18.316 2.848
0.000 6.740 9.002
0.000 6.023 0.784
0.000 19.033 11.066
0.000 6.418 5.045
0.000 18.637 6.806
0.000 12.151 3.809
0.000 12.904 8.041
0.000 3.210 1.636
0.000 21.845 10.215
0.000 9.418 4.455
0.000 15.637 7.395
```


No. 18
Compound: Cr3CuSb
Source: Alexandria via LeMat-Bulk
Functional: GGA-PBE
Structure: relaxed

Calculated values
The final energy is -6.384 eV/atom. As for the uncorrected formation energy: 1.03 eV per atom. Its volume is 100.66 Å³/cell. The offset from the most stable computed form is 0 meV/atom. Its space group is Pm-3m (221).

POSCAR file:
```
Cr3CuSb
1.0
4.652 0.000 0.000
0.000 4.652 0.000
0.000 0.000 4.652
Sb Cu Cr
1 1 3
Cartesian
2.326 2.326 2.326
0.000 0.000 0.000
0.000 2.326 0.000
0.000 0.000 2.326
2.326 0.000 0.000
```


No. 19
Compound: AgP2Se
Source: Alexandria via LeMat-Bulk
Functional: GGA-PBE
Structure: relaxed

Calculated values
The final energy is -3.851 eV/atom. As for the uncorrected formation energy: 0.44 eV per atom. Its volume is 80.95 Å³/cell. Its space group is Cmm2 (35).

POSCAR file:
```
AgP2Se
1.0
3.133 -0.089 0.000
-1.467 2.770 0.000
0.000 0.000 9.470
Ag P Se
1 2 1
Cartesian
0.833 1.341 7.282
0.000 0.000 0.180
0.833 1.341 1.684
0.000 0.000 5.059
```


No. 20
Compound: La4Ag2O
Source: Alexandria via LeMat-Bulk
Functional: GGA-PBE
Structure: relaxed

Calculated values
The final energy is -5.242 eV/atom. As for the uncorrected formation energy: -0.90 eV per atom. Its volume is 194.88 Å³/cell. Its space group is I4/mmm (139).

POSCAR file:
```
La4Ag2O
1.0
-1.777 -0.007 -4.691
4.666 -0.527 -1.766
0.688 -7.969 -2.930
O Ag La
1 2 4
Cartesian
0.000 0.000 0.000
1.248 -2.264 -3.151
2.329 -6.239 -6.236
0.959 -5.209 -3.037
2.618 -3.294 -6.350
2.333 -0.263 -0.883
-0.888 -0.004 -2.346
```